[1]
Below is a PBEsol-optimized structure of KMg2Sn2, with properties calculated at the SCAN level.

Summary:
Calculated volume (Å³ per atom): 28.74
Formation enthalpy at 0 K (eV/atom): -0.30
Total magnetization (μB per atom): 0.000

abc: 4.839 4.839 7.026
angles: 110.15 110.15 90.00
Fractional positions:
Mg 0.250 0.750 0.500
Mg 0.750 0.250 0.500
K 0.000 0.000 0.000
Sn 0.385 0.385 0.770
Sn 0.615 0.615 0.230

***

[2]
Below is a PBEsol-optimized structure of Li3Ni4O4F3, with properties calculated at the SCAN level.

Summary:
Calculated volume (Å³ per atom): 8.53
Raw formation energy (eV per atom): -2.035
Total magnetization (μB per atom): 0.000

abc: 2.868 2.868 14.664
angles: 95.61 95.61 90.00
Last column: magnetic moment on the atom in μB.
Fractional positions:
Li 0.930 0.930 0.861  0.00
Li 0.070 0.070 0.139  0.00
Li 0.500 0.500 0.000  0.00
Ni 0.357 0.357 0.713  1.68
Ni 0.786 0.786 0.573  -1.66
Ni 0.214 0.214 0.427  -1.66
Ni 0.643 0.643 0.287  1.68
O 0.857 0.857 0.715  0.11
O 0.284 0.284 0.569  -0.16
O 0.716 0.716 0.431  -0.16
O 0.143 0.143 0.285  0.11
F 0.432 0.432 0.865  0.03
F 0.568 0.568 0.135  0.03
F 0.000 0.000 0.000  0.00